# Mg3TaNi, optimized geometry, DFT PBE-GGA
data_Mg3TaNi
_chemical_formula_sum 'Mg3 Ta1 Ni1'
_cell_length_a 5.3238
_cell_length_b 5.3238
_cell_length_c 5.3238
_cell_angle_alpha 90.00
_cell_angle_beta 90.00
_cell_angle_gamma 90.00
_symmetry_space_group_name_H-M 'P m -3 m'
_symmetry_Int_Tables_number 221
_symmetry_space_group_name_Hall '-P 4 2 3'
loop_
_atom_site_label
_atom_site_type_symbol
_atom_site_fract_x
_atom_site_fract_y
_atom_site_fract_z
Mg1 Mg 0.0000 0.0000 0.5000
Ta1 Ta 0.0000 0.0000 0.0000
Ni1 Ni 0.5000 0.5000 0.5000
# E_form (eV per atom): 1.782
# Distance to the lowest polymorph of the same formula (eV per formula unit): 5.21
# Total DFT energy (no corrections) (eV per atom): -2.70
# Mass density (g cm⁻³): 3.440